No. 1
RbMg3C after structural relaxation, computed with PBE-GGA.

Geometry as POSCAR:
```
RbMg3C
1.0
4.889 0.000 0.000
0.000 4.889 0.000
0.000 0.000 4.889
Rb Mg C
1 3 1
Cartesian
0.000 0.000 0.000 Rb
0.000 2.444 2.444 Mg
2.444 0.000 2.444 Mg
2.444 2.444 0.000 Mg
2.444 2.444 2.444 C
```

Calculated values
Crystal system: cubic
Energy relative to the elements, eV/atom: 0.695
Offset from the most stable computed form, eV per atom: 0.0000
Mass density, g/cm3: 2.422
Symmetry: Pm-3m (221)

***

No. 2
RbMgC3 after structural relaxation, computed with PBE-GGA.

Geometry as POSCAR:
```
RbMgC3
1.0
4.522 0.000 0.000
0.000 4.522 0.000
0.000 0.000 4.522
Rb Mg C
1 1 3
Cartesian
0.000 0.000 0.000 Rb
2.261 2.261 2.261 Mg
0.000 0.000 2.261 C
0.000 2.261 0.000 C
2.261 0.000 0.000 C
```

Calculated values
Crystal system: cubic
Energy relative to the elements, eV/atom: 3.981
Offset from the most stable computed form, eV per atom: 1.2410
Mass density, g/cm3: 2.619
Symmetry: Pm-3m (221)

***

No. 3
RbMg3C after structural relaxation, computed with PBE-GGA.

Geometry as POSCAR:
```
RbMg3C
1.0
7.312 0.000 0.000
0.000 7.312 0.000
0.000 0.000 7.312
Rb Mg C
1 3 1
Cartesian
0.000 0.000 0.000 Rb
0.000 0.000 3.656 Mg
0.000 3.656 0.000 Mg
3.656 0.000 0.000 Mg
3.656 3.656 3.656 C
```

Calculated values
Crystal system: cubic
Energy relative to the elements, eV/atom: 2.186
Offset from the most stable computed form, eV per atom: 1.4910
Mass density, g/cm3: 0.724
Symmetry: Pm-3m (221)

***

No. 4
RbMg2SnC after structural relaxation, computed with PBE-GGA.

Geometry as POSCAR:
```
RbMg2SnC
1.0
4.690 0.000 0.000
0.000 4.690 0.000
0.000 0.000 5.588
Rb Mg Sn C
1 2 1 1
Cartesian
0.000 0.000 0.000 Rb
0.000 2.345 2.794 Mg
2.345 0.000 2.794 Mg
2.345 2.345 0.000 Sn
2.345 2.345 2.794 C
```

Calculated values
Crystal system: tetragonal
Energy relative to the elements, eV/atom: 0.713
Mass density, g/cm3: 3.577
Symmetry: P4/mmm (123)

***

No. 5
RbYMgC2 after structural relaxation, computed with PBE-GGA.

Geometry as POSCAR:
```
RbYMgC2
1.0
4.444 0.000 0.000
0.000 4.444 0.000
0.000 0.000 4.723
Rb Y Mg C
1 1 1 2
Cartesian
0.000 0.000 0.000 Rb
2.222 2.222 0.000 Y
0.000 0.000 2.362 Mg
0.000 2.222 2.362 C
2.222 0.000 2.362 C
```

Calculated values
Crystal system: tetragonal
Energy relative to the elements, eV/atom: 1.921
Mass density, g/cm3: 3.965
Symmetry: P4/mmm (123)

***

No. 6
MgReC3 after structural relaxation, computed with PBE-GGA.

Geometry as POSCAR:
```
MgReC3
1.0
4.027 0.000 0.000
0.000 4.027 0.000
0.000 0.000 4.027
Mg Re C
1 1 3
Cartesian
0.000 0.000 0.000 Mg
2.013 2.013 2.013 Re
0.000 2.013 2.013 C
2.013 0.000 2.013 C
2.013 2.013 0.000 C
```

Calculated values
Crystal system: cubic
Energy relative to the elements, eV/atom: 1.418
Offset from the most stable computed form, eV per atom: 0.0000
Mass density, g/cm3: 6.269
Symmetry: Pm-3m (221)

***

No. 7
MgRe2C after structural relaxation, computed with PBE-GGA.

Geometry as POSCAR:
```
MgRe2C
1.0
4.982 0.000 0.000
0.000 4.982 0.000
0.000 0.000 12.167
Mg Re C
4 8 4
Cartesian
0.000 0.000 0.000 Mg
0.000 2.491 3.042 Mg
2.491 0.000 9.125 Mg
2.491 2.491 6.084 Mg
0.294 1.246 7.604 Re
1.246 2.785 10.646 Re
1.246 4.688 4.563 Re
2.197 1.246 1.521 Re
2.785 3.737 1.521 Re
3.737 0.294 4.563 Re
3.737 2.197 10.646 Re
4.688 3.737 7.604 Re
0.000 0.000 6.084 C
0.000 2.491 9.125 C
2.491 0.000 3.042 C
2.491 2.491 0.000 C
```

Calculated values
Crystal system: tetragonal
Energy relative to the elements, eV/atom: 1.200
Offset from the most stable computed form, eV per atom: 0.0000
Mass density, g/cm3: 8.989
Symmetry: I-42d (122)

***

No. 8
MgReC3 after structural relaxation, computed with PBE-GGA.

Geometry as POSCAR:
```
MgReC3
1.0
3.881 0.000 0.000
0.000 3.881 0.000
0.000 0.000 3.881
Mg Re C
1 1 3
Cartesian
0.000 0.000 0.000 Mg
1.940 1.940 1.940 Re
0.000 0.000 1.940 C
0.000 1.940 0.000 C
1.940 0.000 0.000 C
```

Calculated values
Crystal system: cubic
Energy relative to the elements, eV/atom: 3.368
Offset from the most stable computed form, eV per atom: 1.9501
Mass density, g/cm3: 7.004
Symmetry: Pm-3m (221)

***

No. 9
MgRe2C after structural relaxation, computed with PBE-GGA.

Geometry as POSCAR:
```
MgRe2C
1.0
5.900 0.000 0.000
0.000 5.900 0.000
0.000 0.000 5.900
Mg Re C
4 8 4
Cartesian
0.000 0.000 0.000 Mg
0.000 2.950 2.950 Mg
2.950 0.000 2.950 Mg
2.950 2.950 0.000 Mg
1.475 1.475 1.475 Re
1.475 1.475 4.425 Re
1.475 4.425 1.475 Re
1.475 4.425 4.425 Re
4.425 1.475 1.475 Re
4.425 1.475 4.425 Re
4.425 4.425 1.475 Re
4.425 4.425 4.425 Re
0.000 0.000 2.950 C
0.000 2.950 0.000 C
2.950 0.000 0.000 C
2.950 2.950 2.950 C
```

Calculated values
Crystal system: cubic
Energy relative to the elements, eV/atom: 1.724
Offset from the most stable computed form, eV per atom: 0.5240
Mass density, g/cm3: 13.217
Symmetry: Fm-3m (225)

***

No. 10
Mg2ReC after structural relaxation, computed with PBE-GGA.

Geometry as POSCAR:
```
Mg2ReC
1.0
8.067 0.000 0.000
0.000 8.067 0.000
0.000 0.000 4.044
Mg Re C
8 4 4
Cartesian
0.942 6.050 0.505 Mg
2.017 0.942 3.538 Mg
2.017 3.091 1.516 Mg
3.091 6.050 2.527 Mg
4.976 2.017 2.527 Mg
6.050 4.976 1.516 Mg
6.050 7.125 3.538 Mg
7.125 2.017 0.505 Mg
0.000 0.000 2.022 Re
0.000 4.034 3.033 Re
4.034 0.000 1.011 Re
4.034 4.034 0.000 Re
0.000 0.000 0.000 C
0.000 4.034 1.011 C
4.034 0.000 3.033 C
4.034 4.034 2.022 C
```

Calculated values
Crystal system: tetragonal
Energy relative to the elements, eV/atom: 0.637
Mass density, g/cm3: 6.230
Symmetry: I-42d (122)

***

No. 11
MgReCSe2 after structural relaxation, computed with PBE-GGA.

Geometry as POSCAR:
```
MgReCSe2
1.0
4.459 0.000 0.000
0.000 4.459 0.000
0.000 0.000 3.942
Mg Re C Se
1 1 1 2
Cartesian
0.000 0.000 0.000 Mg
2.229 2.229 0.000 Re
0.000 0.000 1.971 C
0.000 2.229 1.971 Se
2.229 0.000 1.971 Se
```

Calculated values
Crystal system: tetragonal
Final energy, eV per atom: -4.73
Mass density, g/cm3: 8.062
Symmetry: P4/mmm (123)

***

No. 12
MgReSi2C after structural relaxation, computed with PBE-GGA.

Geometry as POSCAR:
```
MgReSi2C
1.0
3.976 0.000 0.000
0.000 3.976 0.000
0.000 0.000 4.074
Mg Re Si C
1 1 2 1
Cartesian
0.000 0.000 0.000 Mg
1.988 1.988 0.000 Re
0.000 1.988 2.037 Si
1.988 0.000 2.037 Si
0.000 0.000 2.037 C
```

Calculated values
Crystal system: tetragonal
Final energy, eV per atom: -5.93
Mass density, g/cm3: 7.186
Symmetry: P4/mmm (123)

***

No. 13
MgRhC2 after structural relaxation, computed with PBE-GGA.

Geometry as POSCAR:
```
MgRhC2
1.0
4.935 0.000 0.000
0.000 4.935 0.000
0.000 0.000 9.101
Mg Rh C
4 4 8
Cartesian
0.000 0.000 0.000 Mg
0.000 2.468 2.275 Mg
2.468 0.000 6.826 Mg
2.468 2.468 4.551 Mg
0.000 0.000 4.551 Rh
0.000 2.468 6.826 Rh
2.468 0.000 2.275 Rh
2.468 2.468 0.000 Rh
0.964 1.234 5.688 C
1.234 3.431 7.964 C
1.234 3.972 3.413 C
1.504 1.234 1.138 C
3.431 3.702 1.138 C
3.702 0.964 3.413 C
3.702 1.504 7.964 C
3.972 3.702 5.688 C
```

Calculated values
Crystal system: tetragonal
Energy relative to the elements, eV/atom: 0.839
Mass density, g/cm3: 4.531
Symmetry: I-42d (122)

***

No. 14
Mg2Rh6C after structural relaxation, computed with PBE-GGA.

Geometry as POSCAR:
```
Mg2Rh6C
1.0
0.000 3.973 3.973
3.973 0.000 3.973
3.973 3.973 0.000
Mg Rh C
2 6 1
Cartesian
1.987 1.987 1.987 Mg
5.960 5.960 5.960 Mg
3.973 3.973 1.932 Rh
3.973 1.932 3.973 Rh
6.014 3.973 3.973 Rh
1.932 3.973 3.973 Rh
3.973 6.014 3.973 Rh
3.973 3.973 6.014 Rh
3.973 3.973 3.973 C
```

Calculated values
Crystal system: cubic
Energy relative to the elements, eV/atom: -0.275
Mass density, g/cm3: 8.976
Symmetry: Fm-3m (225)

***

No. 15
MgRh2C after structural relaxation, computed with PBE-GGA.

Geometry as POSCAR:
```
MgRh2C
1.0
5.826 0.000 0.000
0.000 5.826 0.000
0.000 0.000 5.826
Mg Rh C
4 8 4
Cartesian
0.000 0.000 0.000 Mg
0.000 2.913 2.913 Mg
2.913 0.000 2.913 Mg
2.913 2.913 0.000 Mg
1.457 1.457 1.457 Rh
1.457 1.457 4.370 Rh
1.457 4.370 1.457 Rh
1.457 4.370 4.370 Rh
4.370 1.457 1.457 Rh
4.370 1.457 4.370 Rh
4.370 4.370 1.457 Rh
4.370 4.370 4.370 Rh
0.000 0.000 2.913 C
0.000 2.913 0.000 C
2.913 0.000 0.000 C
2.913 2.913 2.913 C
```

Calculated values
Crystal system: cubic
Energy relative to the elements, eV/atom: 0.724
Offset from the most stable computed form, eV per atom: 0.8194
Mass density, g/cm3: 8.132
Symmetry: Fm-3m (225)

***

No. 16
MgRh2C after structural relaxation, computed with PBE-GGA.

Geometry as POSCAR:
```
MgRh2C
1.0
6.604 0.000 0.000
0.000 6.604 0.000
0.000 0.000 5.152
Mg Rh C
4 8 4
Cartesian
0.000 0.000 0.000 Mg
0.000 3.302 1.288 Mg
3.302 0.000 3.864 Mg
3.302 3.302 2.576 Mg
0.859 1.651 3.220 Rh
1.651 4.161 4.508 Rh
1.651 5.745 1.932 Rh
2.443 1.651 0.644 Rh
4.161 4.953 0.644 Rh
4.953 0.859 1.932 Rh
4.953 2.443 4.508 Rh
5.745 4.953 3.220 Rh
0.000 0.000 2.576 C
0.000 3.302 3.864 C
3.302 0.000 1.288 C
3.302 3.302 0.000 C
```

Calculated values
Crystal system: tetragonal
Energy relative to the elements, eV/atom: -0.095
Offset from the most stable computed form, eV per atom: 0.0000
Mass density, g/cm3: 7.157
Symmetry: I-42d (122)

***

No. 17
MgSc2RhC after structural relaxation, computed with PBE-GGA.

Geometry as POSCAR:
```
MgSc2RhC
1.0
4.597 0.000 0.000
0.000 4.597 0.000
0.000 0.000 4.006
Mg Sc Rh C
1 2 1 1
Cartesian
0.000 0.000 0.000 Mg
0.000 2.298 2.003 Sc
2.298 0.000 2.003 Sc
2.298 2.298 0.000 Rh
2.298 2.298 2.003 C
```

Calculated values
Crystal system: tetragonal
Energy relative to the elements, eV/atom: -0.398
Mass density, g/cm3: 4.495
Symmetry: P4/mmm (123)

***

No. 18
MgScRh2C after structural relaxation, computed with PBE-GGA.

Geometry as POSCAR:
```
MgScRh2C
1.0
4.152 0.000 0.000
0.000 4.152 0.000
0.000 0.000 4.320
Mg Sc Rh C
1 1 2 1
Cartesian
0.000 0.000 0.000 Mg
2.076 2.076 0.000 Sc
0.000 2.076 2.160 Rh
2.076 0.000 2.160 Rh
2.076 2.076 2.160 C
```

Calculated values
Crystal system: tetragonal
Energy relative to the elements, eV/atom: -0.298
Mass density, g/cm3: 6.402
Symmetry: P4/mmm (123)

***

No. 19
SrMg2RhC after structural relaxation, computed with PBE-GGA.

Geometry as POSCAR:
```
SrMg2RhC
1.0
4.866 0.000 0.000
0.000 4.866 0.000
0.000 0.000 5.756
Sr Mg Rh C
1 2 1 1
Cartesian
0.000 0.000 0.000 Sr
0.000 2.433 2.878 Mg
2.433 0.000 2.878 Mg
0.000 0.000 2.878 Rh
2.433 2.433 0.000 C
```

Calculated values
Crystal system: tetragonal
Energy relative to the elements, eV/atom: 1.042
Mass density, g/cm3: 3.060
Symmetry: P4/mmm (123)

***

No. 20
MgTcRh2C after structural relaxation, computed with PBE-GGA.

Geometry as POSCAR:
```
MgTcRh2C
1.0
4.092 0.000 0.000
0.000 4.092 0.000
0.000 0.000 4.097
Mg Tc Rh C
1 1 2 1
Cartesian
0.000 0.000 0.000 Mg
2.046 2.046 0.000 Tc
0.000 2.046 2.049 Rh
2.046 0.000 2.049 Rh
2.046 2.046 2.049 C
```

Calculated values
Crystal system: tetragonal
Energy relative to the elements, eV/atom: -0.043
Mass density, g/cm3: 8.233
Symmetry: P4/mmm (123)

***

No. 21
Mg2RhWC after structural relaxation, computed with PBE-GGA.

Geometry as POSCAR:
```
Mg2RhWC
1.0
4.796 0.000 0.000
0.000 4.796 0.000
0.000 0.000 4.708
Mg Rh W C
2 1 1 1
Cartesian
0.000 2.398 0.000 Mg
2.398 0.000 0.000 Mg
0.000 0.000 0.000 Rh
0.000 0.000 2.354 W
2.398 2.398 2.354 C
```

Calculated values
Crystal system: tetragonal
Energy relative to the elements, eV/atom: 1.902
Mass density, g/cm3: 5.326
Symmetry: P4/mmm (123)

***

No. 22
Y2MgRhC after structural relaxation, computed with PBE-GGA.

Geometry as POSCAR:
```
Y2MgRhC
1.0
5.049 0.000 0.000
0.000 5.049 0.000
0.000 0.000 3.952
Y Mg Rh C
2 1 1 1
Cartesian
0.000 2.524 0.000 Y
2.524 0.000 0.000 Y
0.000 0.000 1.976 Mg
2.524 2.524 1.976 Rh
2.524 2.524 0.000 C
```

Calculated values
Crystal system: tetragonal
Energy relative to the elements, eV/atom: -0.350
Mass density, g/cm3: 5.227
Symmetry: P4/mmm (123)

***

No. 23
MgRu2C after structural relaxation, computed with PBE-GGA.

Geometry as POSCAR:
```
MgRu2C
1.0
5.783 0.000 0.000
0.000 5.783 0.000
0.000 0.000 5.783
Mg Ru C
4 8 4
Cartesian
0.000 0.000 0.000 Mg
0.000 2.892 2.892 Mg
2.892 0.000 2.892 Mg
2.892 2.892 0.000 Mg
1.446 1.446 1.446 Ru
1.446 1.446 4.338 Ru
1.446 4.338 1.446 Ru
1.446 4.338 4.338 Ru
4.338 1.446 1.446 Ru
4.338 1.446 4.338 Ru
4.338 4.338 1.446 Ru
4.338 4.338 4.338 Ru
0.000 0.000 2.892 C
0.000 2.892 0.000 C
2.892 0.000 0.000 C
2.892 2.892 2.892 C
```

Calculated values
Crystal system: cubic
Energy relative to the elements, eV/atom: 1.127
Offset from the most stable computed form, eV per atom: 0.9222
Mass density, g/cm3: 8.188
Symmetry: Fm-3m (225)

***

No. 24
MgRuC after structural relaxation, computed with PBE-GGA.

Geometry as POSCAR:
```
MgRuC
1.0
5.777 0.000 0.000
0.000 2.978 0.000
0.000 0.000 9.508
Mg Ru C
4 4 4
Cartesian
0.000 0.020 0.000 Mg
0.000 2.958 4.754 Mg
2.888 0.052 4.422 Mg
2.888 2.925 9.177 Mg
1.495 1.470 1.889 Ru
1.495 1.508 6.643 Ru
4.281 1.470 1.889 Ru
4.281 1.508 6.643 Ru
0.000 1.466 3.084 C
0.000 1.512 7.839 C
2.888 0.018 6.862 C
2.888 2.959 2.108 C
```

Calculated values
Crystal system: orthorhombic
Energy relative to the elements, eV/atom: 0.328
Offset from the most stable computed form, eV per atom: 0.2233
Mass density, g/cm3: 5.579
Symmetry: Pmc2_1 (26)

***

No. 25
MgRuC after structural relaxation, computed with PBE-GGA.

Geometry as POSCAR:
```
MgRuC
1.0
3.294 0.000 0.000
-1.647 2.853 0.000
0.000 0.000 4.386
Mg Ru C
1 1 1
Cartesian
0.000 0.000 0.000 Mg
0.000 1.902 2.303 Ru
1.647 0.951 2.774 C
```

Calculated values
Crystal system: trigonal
Energy relative to the elements, eV/atom: 0.104
Offset from the most stable computed form, eV per atom: 0.0000
Mass density, g/cm3: 5.536
Symmetry: P3m1 (156)

***

No. 26
MgRu2C after structural relaxation, computed with PBE-GGA.

Geometry as POSCAR:
```
MgRu2C
1.0
3.144 0.000 0.000
-1.572 2.723 0.000
0.000 0.000 19.896
Mg Ru C
3 6 3
Cartesian
0.000 0.000 0.000 Mg
0.000 1.815 13.264 Mg
1.572 0.908 6.632 Mg
0.000 0.000 4.303 Ru
0.000 0.000 15.593 Ru
0.000 1.815 8.961 Ru
0.000 1.815 17.567 Ru
1.572 0.908 2.329 Ru
1.572 0.908 10.935 Ru
0.000 0.000 9.948 C
0.000 1.815 3.316 C
1.572 0.908 16.580 C
```

Calculated values
Crystal system: trigonal
Energy relative to the elements, eV/atom: 0.217
Offset from the most stable computed form, eV per atom: 0.0121
Mass density, g/cm3: 6.975
Symmetry: R-3m (166)

***

No. 27
MgRu2C after structural relaxation, computed with PBE-GGA.

Geometry as POSCAR:
```
MgRu2C
1.0
6.695 0.000 0.000
0.000 6.695 0.000
0.000 0.000 4.751
Mg Ru C
4 8 4
Cartesian
0.000 0.000 0.000 Mg
0.000 3.348 1.188 Mg
3.348 0.000 3.563 Mg
3.348 3.348 2.375 Mg
0.954 1.674 2.969 Ru
1.674 4.301 4.157 Ru
1.674 5.742 1.782 Ru
2.394 1.674 0.594 Ru
4.301 5.022 0.594 Ru
5.022 0.954 1.782 Ru
5.022 2.394 4.157 Ru
5.742 5.022 2.969 Ru
0.000 0.000 2.375 C
0.000 3.348 3.563 C
3.348 0.000 1.188 C
3.348 3.348 0.000 C
```

Calculated values
Crystal system: tetragonal
Energy relative to the elements, eV/atom: 0.205
Offset from the most stable computed form, eV per atom: 0.0000
Mass density, g/cm3: 7.437
Symmetry: I-42d (122)

***

No. 28
MgScRu2C after structural relaxation, computed with PBE-GGA.

Geometry as POSCAR:
```
MgScRu2C
1.0
4.099 0.000 0.000
0.000 4.099 0.000
0.000 0.000 4.374
Mg Sc Ru C
1 1 2 1
Cartesian
0.000 0.000 0.000 Mg
2.049 2.049 0.000 Sc
0.000 2.049 2.187 Ru
2.049 0.000 2.187 Ru
2.049 2.049 2.187 C
```

Calculated values
Crystal system: tetragonal
Energy relative to the elements, eV/atom: -0.188
Offset from the most stable computed form, eV per atom: 0.0000
Mass density, g/cm3: 6.404
Symmetry: P4/mmm (123)